Na2CaHgO | the Alexandria database | PBE | optimized geometry; uncorrected formation energy = -23.76 kcal/mol of atoms; density of states at the Fermi level = 1.7 states/eV/f.u.; spin magnetization = 0.000 μB/atom; final energy = -3.0102 eV per atom
1.0
4.883 0.000 0.000
0.000 4.883 0.000
0.000 0.000 4.580
Na Ca Hg O
2 1 1 1
direct
0.000 0.500 0.000 Na
0.500 0.000 0.000 Na
0.000 0.000 0.500 Ca
0.500 0.500 0.500 Hg
0.000 0.000 0.000 O

Ta3TiI | the Alexandria database | PBE | optimized geometry; offset from the most stable computed form = 2.195 eV per formula unit; uncorrected formation energy = 46.68 kcal/mol of atoms; density of states at the Fermi level = 5.0 states/eV/f.u.; spin magnetization = 0.000 μB/atom; final energy = -6.9765 eV per atom
1.0
4.949 0.000 0.000
0.000 4.949 0.000
0.000 0.000 4.949
Ta Ti I
3 1 1
direct
0.000 0.000 0.500 Ta
0.000 0.500 0.000 Ta
0.500 0.000 0.000 Ta
0.500 0.500 0.500 Ti
0.000 0.000 0.000 I

Mg2ZnHRh | the Alexandria database | PBE | optimized geometry; offset from the most stable computed form = 0.000 eV per formula unit; density of states at the Fermi level = 1.7 states/eV/f.u.; spin magnetization = 0.000 μB/atom; final energy = -3.3449 eV per atom
1.0
4.410 0.000 0.000
0.000 4.410 0.000
0.000 0.000 3.510
Mg Zn H Rh
2 1 1 1
direct
0.000 0.500 0.000 Mg
0.500 0.000 0.000 Mg
0.000 0.000 0.500 Zn
0.500 0.500 0.000 H
0.500 0.500 0.500 Rh

Nd3Y2In4 | the Alexandria database | PBE | optimized geometry; offset from the most stable computed form = 0.000 eV per formula unit; ΔH_f (0 K) = -0.43 eV per atom; density of states at the Fermi level = 8.4 states/eV/f.u.; spin magnetization = 0.000 μB/atom; final energy = -4.6713 eV per atom
1.0
5.382 0.000 0.000
-2.691 4.661 0.000
0.000 0.000 10.378
Nd Y In
3 2 4
direct
0.000 0.000 0.000 Nd
0.333 0.667 0.422 Nd
0.667 0.333 0.578 Nd
0.333 0.667 0.779 Y
0.667 0.333 0.221 Y
0.000 0.000 0.345 In
0.000 0.000 0.655 In
0.333 0.667 0.100 In
0.667 0.333 0.900 In

Th3Hg5Se12 | the Alexandria database | PBE | optimized geometry; uncorrected formation energy = -16.92 kcal/mol of atoms; density of states at the Fermi level = 4.4 states/eV/f.u.; spin magnetization = 0.000 μB/atom; final energy = -4.0127 eV per atom
1.0
-8.327 8.327 8.327
8.327 -8.327 8.327
8.327 8.327 -8.327
Th Hg Se
12 20 48
direct
0.125 0.250 0.375 Th
0.125 0.375 0.750 Th
0.250 0.375 0.125 Th
0.250 0.875 0.625 Th
0.375 0.125 0.250 Th
0.375 0.750 0.125 Th
0.625 0.250 0.875 Th
0.625 0.875 0.750 Th
0.750 0.125 0.375 Th
0.750 0.625 0.875 Th
0.875 0.625 0.250 Th
0.875 0.750 0.625 Th
0.000 0.000 0.000 Hg
0.000 0.000 0.500 Hg
0.000 0.500 0.000 Hg
0.000 0.500 0.500 Hg
0.125 0.750 0.875 Hg
0.125 0.875 0.250 Hg
0.250 0.125 0.875 Hg
0.250 0.625 0.375 Hg
0.375 0.250 0.625 Hg
0.375 0.625 0.750 Hg
0.500 0.000 0.000 Hg
0.500 0.000 0.500 Hg
0.500 0.500 0.000 Hg
0.500 0.500 0.500 Hg
0.625 0.375 0.250 Hg
0.625 0.750 0.375 Hg
0.750 0.375 0.625 Hg
0.750 0.875 0.125 Hg
0.875 0.125 0.750 Hg
0.875 0.250 0.125 Hg
0.051 0.223 0.136 Se
0.051 0.329 0.915 Se
0.085 0.636 0.413 Se
0.085 0.949 0.671 Se
0.087 0.723 0.671 Se
0.087 0.864 0.415 Se
0.136 0.051 0.223 Se
0.136 0.585 0.913 Se
0.171 0.223 0.587 Se
0.171 0.449 0.585 Se
0.223 0.136 0.051 Se
0.223 0.587 0.171 Se
0.277 0.329 0.913 Se
0.277 0.449 0.364 Se
0.329 0.913 0.277 Se
0.329 0.915 0.051 Se
0.364 0.277 0.449 Se
0.364 0.587 0.915 Se
0.413 0.085 0.636 Se
0.413 0.829 0.777 Se
0.415 0.087 0.864 Se
0.415 0.829 0.551 Se
0.449 0.364 0.277 Se
0.449 0.585 0.171 Se
0.551 0.415 0.829 Se
0.551 0.636 0.723 Se
0.585 0.171 0.449 Se
0.585 0.913 0.136 Se
0.587 0.171 0.223 Se
0.587 0.915 0.364 Se
0.636 0.413 0.085 Se
0.636 0.723 0.551 Se
0.671 0.085 0.949 Se
0.671 0.087 0.723 Se
0.723 0.551 0.636 Se
0.723 0.671 0.087 Se
0.777 0.413 0.829 Se
0.777 0.864 0.949 Se
0.829 0.551 0.415 Se
0.829 0.777 0.413 Se
0.864 0.415 0.087 Se
0.864 0.949 0.777 Se
0.913 0.136 0.585 Se
0.913 0.277 0.329 Se
0.915 0.051 0.329 Se
0.915 0.364 0.587 Se
0.949 0.671 0.085 Se
0.949 0.777 0.864 Se

K3IrRh3O8 | the Alexandria database | PBE | optimized geometry; uncorrected formation energy = -23.17 kcal/mol of atoms; density of states at the Fermi level = 9.2 states/eV/f.u.; spin magnetization = 0.025 μB/atom; final energy = -5.9297 eV per atom
1.0
3.203 1.849 5.892
-3.203 1.849 5.892
0.000 -3.699 5.892
K Ir Rh O
3 1 3 8
direct
0.000 0.500 0.500 K
0.500 0.000 0.500 K
0.500 0.500 0.000 K
0.500 0.500 0.500 Ir
0.000 0.000 0.500 Rh
0.000 0.500 0.000 Rh
0.500 0.000 0.000 Rh
0.222 0.222 0.222 O
0.223 0.720 0.720 O
0.280 0.280 0.777 O
0.280 0.777 0.280 O
0.720 0.223 0.720 O
0.720 0.720 0.223 O
0.777 0.280 0.280 O
0.778 0.778 0.778 O

Ba2Li3NdSb4 | the Alexandria database | PBE | optimized geometry; uncorrected formation energy = -19.20 kcal/mol of atoms; density of states at the Fermi level = 3.8 states/eV/f.u.; spin magnetization = 0.028 μB/atom; final energy = -3.9171 eV per atom
1.0
4.972 0.000 0.000
0.000 4.972 0.000
0.000 0.000 12.141
Ba Li Nd Sb
2 3 1 4
direct
0.000 0.500 0.217 Ba
0.500 0.000 0.783 Ba
0.000 0.500 0.885 Li
0.500 0.000 0.115 Li
0.500 0.500 0.500 Li
0.000 0.000 0.500 Nd
0.000 0.000 0.000 Sb
0.000 0.500 0.651 Sb
0.500 0.000 0.349 Sb
0.500 0.500 0.000 Sb

Sm2TmThBi4 | the Alexandria database | PBE | optimized geometry; ΔH_f (0 K) = -0.81 eV per atom; density of states at the Fermi level = 1.7 states/eV/f.u.; spin magnetization = 0.000 μB/atom; final energy = -5.4144 eV per atom
1.0
7.846 0.000 0.000
0.000 4.548 0.000
-2.627 0.000 7.419
Sm Tm Th Bi
2 1 1 4
direct
0.000 0.000 0.000 Sm
0.500 0.500 0.000 Sm
0.000 0.500 0.500 Tm
0.500 0.000 0.500 Th
0.243 0.000 0.745 Bi
0.245 0.500 0.251 Bi
0.755 0.500 0.749 Bi
0.757 0.000 0.255 Bi